Density functional theory data (PBE-GGA) for a geometry-optimized RbSi3H structure.

distance to the lowest polymorph of the same formula = 0.0 meV/atom

Unit cell a=4.484 b=4.484 c=4.484 alpha=90.00 beta=90.00 gamma=90.00
Positions (direct):
Rb 0.000 0.000 0.000
Si 0.000 0.500 0.500
Si 0.500 0.000 0.500
Si 0.500 0.500 0.000
H 0.500 0.500 0.500

---

Density functional theory data (PBE-GGA) for a geometry-optimized Pr3H3N structure.

Unit cell a=7.255 b=7.255 c=7.255 alpha=54.72 beta=54.72 gamma=54.72
Positions (direct):
Pr 0.081 0.727 0.431
Pr 0.273 0.569 0.919
Pr 0.431 0.081 0.727
Pr 0.569 0.919 0.273
Pr 0.727 0.431 0.081
Pr 0.919 0.273 0.569
H 0.124 0.444 0.803
H 0.197 0.876 0.556
H 0.444 0.803 0.124
H 0.556 0.197 0.876
H 0.803 0.124 0.444
H 0.876 0.556 0.197
N 0.333 0.333 0.333
N 0.667 0.667 0.667

---

Density functional theory data (PBE-GGA) for a geometry-optimized MgMn2Br structure.

E_form (uncorrected) = 0.65 eV per atom
distance to the lowest polymorph of the same formula = 426.9 meV/atom

Unit cell a=6.628 b=6.628 c=6.628 alpha=90.00 beta=90.00 gamma=90.00
Positions (direct):
Mg 0.000 0.000 0.000
Mg 0.000 0.500 0.500
Mg 0.500 0.000 0.500
Mg 0.500 0.500 0.000
Mn 0.250 0.250 0.250
Mn 0.250 0.250 0.750
Mn 0.250 0.750 0.250
Mn 0.250 0.750 0.750
Mn 0.750 0.250 0.250
Mn 0.750 0.250 0.750
Mn 0.750 0.750 0.250
Mn 0.750 0.750 0.750
Br 0.000 0.000 0.500
Br 0.000 0.500 0.000
Br 0.500 0.000 0.000
Br 0.500 0.500 0.500

---

Density functional theory data (PBE-GGA) for a geometry-optimized TiInIr2Os structure.

Unit cell a=4.752 b=4.752 c=4.796 alpha=90.00 beta=90.00 gamma=90.00
Positions (direct):
Ti 0.000 0.000 0.000
In 0.500 0.500 0.500
Ir 0.000 0.500 0.500
Ir 0.500 0.000 0.500
Os 0.500 0.500 0.000

---

Density functional theory data (PBE-GGA) for a geometry-optimized KPuNiSe3 structure.

E_form (uncorrected) = -1.07 eV per atom

Unit cell a=9.112 b=4.085 c=9.472 alpha=90.00 beta=108.05 gamma=90.00
Positions (direct):
K 0.198 0.250 0.236
K 0.802 0.750 0.764
Pu 0.322 0.750 0.843
Pu 0.678 0.250 0.157
Ni 0.080 0.250 0.587
Ni 0.920 0.750 0.413
Se 0.114 0.250 0.853
Se 0.191 0.750 0.531
Se 0.458 0.750 0.161
Se 0.542 0.250 0.839
Se 0.809 0.250 0.469
Se 0.886 0.750 0.147

---

Density functional theory data (PBE-GGA) for a geometry-optimized Na2LiYCl6 structure.

E_form (uncorrected) = -1.88 eV per atom
distance to the lowest polymorph of the same formula = 114.7 meV/atom

Unit cell a=7.262 b=7.262 c=7.262 alpha=60.00 beta=60.00 gamma=60.00
Positions (direct):
Na 0.250 0.250 0.250
Na 0.750 0.750 0.750
Li 0.000 0.000 0.000
Y 0.500 0.500 0.500
Cl 0.245 0.245 0.755
Cl 0.245 0.755 0.245
Cl 0.245 0.755 0.755
Cl 0.755 0.245 0.245
Cl 0.755 0.245 0.755
Cl 0.755 0.755 0.245

---

We obtain electronic total energy values of -3.17, -5.42, -4.75, -5.90, -6.35, -4.09 eV per atom for the records listed above, in that order.